# 1
A relaxed structure of Ta3Ag, computed with PBE-GGA.

Computed properties:
Magnetization   0.0 μB/cell
ΔE_f   1.08 eV/f.u.

Structure (POSCAR):
```
Ta3Ag
1.0
5.2489 0.0000 0.0000
0.0000 5.2489 0.0000
0.0000 0.0000 5.2489
Ta Ag
6 2
Cartesian
0.0000 1.3122 2.6244
0.0000 3.9366 2.6244
1.3122 2.6244 0.0000
2.6244 0.0000 1.3122
2.6244 0.0000 3.9366
3.9366 2.6244 0.0000
0.0000 0.0000 0.0000
2.6244 2.6244 2.6244
```

---

# 2
A relaxed structure of TaAg4, computed with PBE-GGA.

Computed properties:
Magnetization   0.0 μB/cell
ΔE_f   1.96 eV/f.u.

Structure (POSCAR):
```
TaAg4
1.0
6.4766 0.0000 0.0000
0.0000 6.4766 0.0000
0.0000 0.0000 4.2090
Ta Ag
2 8
Cartesian
0.0000 0.0000 0.0000
3.2383 3.2383 2.1045
0.6707 1.9210 2.1045
1.3173 3.9090 0.0000
1.9210 5.8059 2.1045
2.5676 1.3173 0.0000
3.9090 5.1593 0.0000
4.5555 0.6707 2.1045
5.1593 2.5676 0.0000
5.8059 4.5555 2.1045
```

---

# 3
A relaxed structure of Ta2Ag, computed with PBE-GGA.

Computed properties:
Magnetization   0.0 μB/cell
ΔE_f   1.28 eV/f.u.

Structure (POSCAR):
```
Ta2Ag
1.0
2.8613 0.0000 0.0000
0.0000 2.8613 0.0000
0.0000 0.0000 27.3057
Ta Ag
8 4
Cartesian
0.0000 0.7153 8.0221
0.0000 0.7153 12.4572
0.0000 2.1460 14.8485
0.0000 2.1460 19.2836
1.4306 0.7153 1.1957
1.4306 0.7153 5.6308
1.4306 2.1460 21.6750
1.4306 2.1460 26.1101
0.0000 0.7153 23.8925
0.0000 2.1460 3.4132
1.4306 0.7153 17.0661
1.4306 2.1460 10.2397
```

---

# 4
A relaxed structure of TaAg2, computed with PBE-GGA.

Computed properties:
Magnetization   0.0 μB/cell
ΔE_f   1.16 eV/f.u.

Structure (POSCAR):
```
TaAg2
1.0
2.7799 0.0000 0.0000
0.0000 15.6316 0.0000
0.0000 0.0000 4.8416
Ta Ag
4 8
Cartesian
0.0000 1.7795 1.2104
0.0000 13.8521 3.6312
1.3899 6.0363 3.6312
1.3899 9.5953 1.2104
0.0000 3.4090 3.6312
0.0000 7.0156 1.2104
0.0000 8.6161 3.6312
0.0000 12.2226 1.2104
1.3899 0.8002 3.6312
1.3899 4.4068 1.2104
1.3899 11.2248 3.6312
1.3899 14.8314 1.2104
```